Entry 1:
The following is a GGA-PBE calculation of a geometry-optimized HfReSn structure, from Alexandria.

## Properties
The calculation puts the density of states at the Fermi level at 2.2 states/eV per cell.

CIF file:
```
data_HfReSn
_chemical_formula_sum 'Hf2 Re2 Sn2'
_symmetry_space_group_name_H-M 'P 1'
_symmetry_Int_Tables_number 1
_cell_length_a 4.3366
_cell_length_b 4.3366
_cell_length_c 7.3182
_cell_angle_alpha 107.23
_cell_angle_beta 107.23
_cell_angle_gamma 90.00
loop_
_symmetry_equiv_pos_as_xyz
'x,y,z'
loop_
_atom_site_label
_atom_site_fract_x
_atom_site_fract_y
_atom_site_fract_z
Hf1 0.1300 0.1300 0.2600
Re1 0.5000 0.0000 0.0000
Re2 0.0000 0.5000 0.0000
Hf2 0.8700 0.8700 0.7400
Sn1 0.6383 0.6383 0.2767
Sn2 0.3617 0.3617 0.7233
```



Entry 2:
The following is a GGA-PBE calculation of a geometry-optimized HfReSn2 structure, from Alexandria.

## Properties
The calculation puts the density of states at the Fermi level at 2.4 states/eV per cell.

CIF file:
```
data_HfReSn2
_chemical_formula_sum 'Hf1 Re1 Sn2'
_symmetry_space_group_name_H-M 'P 1'
_symmetry_Int_Tables_number 1
_cell_length_a 4.7968
_cell_length_b 4.7968
_cell_length_c 4.7968
_cell_angle_alpha 60.00
_cell_angle_beta 60.00
_cell_angle_gamma 60.00
loop_
_symmetry_equiv_pos_as_xyz
'x,y,z'
loop_
_atom_site_label
_atom_site_fract_x
_atom_site_fract_y
_atom_site_fract_z
Sn1 0.7500 0.7500 0.7500
Hf1 0.0000 0.0000 0.0000
Re1 0.5000 0.5000 0.5000
Sn2 0.2500 0.2500 0.2500
```



Entry 3:
The following is a GGA-PBE calculation of a geometry-optimized YHfReSn2 structure, from Alexandria.

## Properties
The calculation puts the density of states at the Fermi level at 5.7 states/eV per cell.

CIF file:
```
data_YHfReSn2
_chemical_formula_sum 'Y1 Hf1 Re1 Sn2'
_symmetry_space_group_name_H-M 'P 1'
_symmetry_Int_Tables_number 1
_cell_length_a 5.4389
_cell_length_b 4.8726
_cell_length_c 5.4389
_cell_angle_alpha 90.00
_cell_angle_beta 90.00
_cell_angle_gamma 90.00
loop_
_symmetry_equiv_pos_as_xyz
'x,y,z'
loop_
_atom_site_label
_atom_site_fract_x
_atom_site_fract_y
_atom_site_fract_z
Hf1 0.5000 0.5000 0.5000
Sn1 0.0000 0.0000 0.5000
Y1 0.0000 0.0000 0.0000
Sn2 0.5000 0.0000 0.0000
Re1 0.0000 0.5000 0.0000
```



Entry 4:
The following is a GGA-PBE calculation of a geometry-optimized Sr3HfRe structure, from Alexandria.

## Properties
The calculation puts the density of states at the Fermi level at 6.9 states/eV per cell.

CIF file:
```
data_Sr3HfRe
_chemical_formula_sum 'Sr3 Hf1 Re1'
_symmetry_space_group_name_H-M 'P 1'
_symmetry_Int_Tables_number 1
_cell_length_a 5.7174
_cell_length_b 5.7174
_cell_length_c 5.7174
_cell_angle_alpha 90.00
_cell_angle_beta 90.00
_cell_angle_gamma 90.00
loop_
_symmetry_equiv_pos_as_xyz
'x,y,z'
loop_
_atom_site_label
_atom_site_fract_x
_atom_site_fract_y
_atom_site_fract_z
Re1 0.0000 0.0000 0.0000
Sr1 0.0000 0.5000 0.0000
Sr2 0.5000 0.0000 0.0000
Hf1 0.5000 0.5000 0.5000
Sr3 0.0000 0.0000 0.5000
```



Number 1: ΔE_f -0.227 eV per atom. Number 2: ΔE_f 0.221 eV per atom. Number 3: ΔE_f 1.652 eV per atom. Number 4: ΔE_f 1.416 eV per atom.